PuGeRu2C, relaxed, DFT GGA-PBE; Fermi-level density of states = 2.35 states/eV per atom; SG = No. 63; formation energy from the elements = -279.0 meV per atom
1.0
-3.1841 2.2846 0.1059
-1.6573 -5.6294 -0.9530
-0.5214 -1.0586 7.1598
C Ge Pu Ru
2 2 2 4
Cartesian
0.0000 0.0000 0.0000
-0.2607 -0.5293 3.5799
-3.4827 -1.7225 5.0074
-1.8801 -2.6809 1.3053
-3.3272 -4.8485 4.5566
-2.0356 0.4451 1.7561
-3.8115 -1.9419 -0.1466
-1.3499 -2.0527 3.6934
-4.0129 -2.3508 2.6193
-1.5513 -2.4616 6.4593



TlRe2W, relaxed, DFT GGA-PBE; Fermi-level density of states = 0.66 states/eV per atom; SG = No. 10; polymorph energy (0 for the lowest one) = 109 meV/atom; formation energy from the elements = 675.0 meV per atom
1.0
4.0389 0.0000 0.0000
0.0000 2.9245 -0.0089
0.0000 2.9505 5.9353
Tl W Re
1 1 2
Cartesian
2.0195 1.4687 1.4816
2.0195 4.4062 4.4448
0.0000 2.9367 5.6603
0.0000 2.9513 3.2381



> Number 2 is which compound?

TlRe2W



Repeat the second record exactly.
TlRe2W, relaxed, DFT GGA-PBE; Fermi-level density of states = 0.66 states/eV per atom; SG = No. 10; polymorph energy (0 for the lowest one) = 109 meV/atom; formation energy from the elements = 675.0 meV per atom
1.0
4.0389 0.0000 0.0000
0.0000 2.9245 -0.0089
0.0000 2.9505 5.9353
Tl W Re
1 1 2
Cartesian
2.0195 1.4687 1.4816
2.0195 4.4062 4.4448
0.0000 2.9367 5.6603
0.0000 2.9513 3.2381



Please write out number 1 again, unchanged.
PuGeRu2C, relaxed, DFT GGA-PBE; Fermi-level density of states = 2.35 states/eV per atom; SG = No. 63; formation energy from the elements = -279.0 meV per atom
1.0
-3.1841 2.2846 0.1059
-1.6573 -5.6294 -0.9530
-0.5214 -1.0586 7.1598
C Ge Pu Ru
2 2 2 4
Cartesian
0.0000 0.0000 0.0000
-0.2607 -0.5293 3.5799
-3.4827 -1.7225 5.0074
-1.8801 -2.6809 1.3053
-3.3272 -4.8485 4.5566
-2.0356 0.4451 1.7561
-3.8115 -1.9419 -0.1466
-1.3499 -2.0527 3.6934
-4.0129 -2.3508 2.6193
-1.5513 -2.4616 6.4593



> Among the records above, which one has the lowest formation energy from the elements?

PuGeRu2C